First-principles (PBE) data for crystalline ZnInRe2 at its relaxed geometry, as listed in the Alexandria database.

The space group is Cm (No. 8) and the conventional cell measures 9.046, 2.887 and 5.051 Å, with angles of 90.00, 97.46 and 90.00 degrees. The inequivalent atoms are Zn at (0.000, 0.000, 0.000), In at (0.242, 0.000, 0.763), Re at (0.249, 0.500, 0.267) and Re at (0.489, 0.000, 0.462).

The relative energy among the computed polymorphs comes out at 0.264 eV/atom. The calculation puts the formation energy at 0.477 eV per atom.

***

First-principles (PBE) data for crystalline ZnInRe2 at its relaxed geometry, as listed in the Alexandria database.

The space group is P4/mmm (No. 123) and the conventional cell measures 2.756, 2.756 and 8.552 Å, with angles of 90.00, 90.00 and 90.00 degrees. The inequivalent atoms are Zn at (0.000, 0.000, 0.000), In at (0.000, 0.000, 0.500) and Re at (0.500, 0.500, 0.235).

The relative energy among the computed polymorphs comes out at 0.487 eV/atom. The calculation puts the formation energy at 0.700 eV per atom.

***

First-principles (PBE) data for crystalline ZnInRe at its relaxed geometry, as listed in the Alexandria database.

The space group is Imm2 (No. 44) and the conventional cell measures 2.768, 4.101 and 9.114 Å, with angles of 90.00, 90.00 and 90.00 degrees. The inequivalent atoms are Zn at (0.000, 0.000, 0.000), In at (0.000, 0.000, 0.695) and Re at (0.000, 0.000, 0.378).

The relative energy among the computed polymorphs comes out at 0.000 eV/atom. The calculation puts the formation energy at 0.488 eV per atom.

***

First-principles (PBE) data for crystalline ZrInRe2 at its relaxed geometry, as listed in the Alexandria database.

The space group is I-4m2 (No. 119) and the conventional cell measures 4.104, 4.104 and 8.442 Å, with angles of 90.00, 90.00 and 90.00 degrees. The inequivalent atoms are Zr at (0.000, 0.000, 0.000), In at (0.000, 0.500, 0.750), Re at (0.000, 0.000, 0.500) and Re at (0.000, 0.500, 0.250).

The calculation puts the formation energy at 0.289 eV per atom.

***

First-principles (PBE) data for crystalline ZrIn2Re at its relaxed geometry, as listed in the Alexandria database.

The space group is Fm-3m (No. 225) and the conventional cell measures 6.761, 6.761 and 6.761 Å, with angles of 90.00, 90.00 and 90.00 degrees. The inequivalent atoms are Zr at (0.000, 0.000, 0.000), In at (0.250, 0.250, 0.250) and Re at (0.000, 0.000, 0.500).

The relative energy among the computed polymorphs comes out at 0.150 eV/atom. The calculation puts the formation energy at 0.247 eV per atom.

***

First-principles (PBE) data for crystalline ZrInRe2 at its relaxed geometry, as listed in the Alexandria database.

The space group is R3m (No. 160, hexagonal axes) and the conventional cell measures 2.9297, 2.9297 and 29.3917 Å, with angles of 90.00, 90.00 and 120.00 degrees. The inequivalent atoms are Zr at (0.0000, 0.0000, 0.0000), In at (0.0000, 0.0000, 0.2403), Re at (0.0000, 0.0000, 0.4904) and Re at (0.0000, 0.0000, 0.7544).

The calculation puts the formation energy at 0.235 eV per atom.

***

First-principles (PBE) data for crystalline ZrIn2Re at its relaxed geometry, as listed in the Alexandria database.

The space group is P4/mmm (No. 123) and the conventional cell measures 3.251, 3.251 and 7.477 Å, with angles of 90.00, 90.00 and 90.00 degrees. The inequivalent atoms are Zr at (0.000, 0.000, 0.000), In at (0.500, 0.500, 0.279) and Re at (0.000, 0.000, 0.500).

The relative energy among the computed polymorphs comes out at 0.188 eV/atom. The calculation puts the formation energy at 0.285 eV per atom.

***

First-principles (PBE) data for crystalline ZrInRe2 at its relaxed geometry, as listed in the Alexandria database.

The space group is Cmmm (No. 65) and the conventional cell measures 3.273, 4.759 and 9.174 Å, with angles of 90.00, 90.00 and 90.00 degrees. The inequivalent atoms are Zr at (0.000, 0.000, 0.000), In at (0.000, 0.000, 0.500) and Re at (0.000, 0.500, 0.246).

The calculation puts the formation energy at 0.312 eV per atom.

***

First-principles (PBE) data for crystalline Zr2InRe at its relaxed geometry, as listed in the Alexandria database.

The space group is I-4m2 (No. 119) and the conventional cell measures 4.150, 4.150 and 9.283 Å, with angles of 90.00, 90.00 and 90.00 degrees. The inequivalent atoms are Zr at (0.000, 0.000, 0.000), Zr at (0.000, 0.500, 0.250), In at (0.000, 0.500, 0.750) and Re at (0.000, 0.000, 0.500).

The calculation puts the formation energy at 0.008 eV per atom.

***

First-principles (PBE) data for crystalline ZrInRe2 at its relaxed geometry, as listed in the Alexandria database.

The space group is C2/m (No. 12) and the conventional cell measures 5.826, 9.365 and 2.835 Å, with angles of 90.00, 113.94 and 90.00 degrees. The inequivalent atoms are Zr at (0.000, 0.000, 0.000), In at (0.000, 0.500, 0.000) and Re at (0.250, 0.250, 0.500).

The calculation puts the formation energy at 0.286 eV per atom.

***

First-principles (PBE) data for crystalline ZrIn2Re at its relaxed geometry, as listed in the Alexandria database.

The space group is R3m (No. 160, hexagonal axes) and the conventional cell measures 3.2417, 3.2417 and 28.9173 Å, with angles of 90.00, 90.00 and 120.00 degrees. The inequivalent atoms are Zr at (0.0000, 0.0000, 0.0000), In at (0.0000, 0.0000, 0.5216), In at (0.0000, 0.0000, 0.7601) and Re at (0.0000, 0.0000, 0.2673).

The relative energy among the computed polymorphs comes out at 0.122 eV/atom. The calculation puts the formation energy at 0.219 eV per atom.

***

First-principles (PBE) data for crystalline Zr2InRe at its relaxed geometry, as listed in the Alexandria database.

The space group is R-3m (No. 166, hexagonal axes) and the conventional cell measures 3.2557, 3.2557 and 27.5819 Å, with angles of 90.00, 90.00 and 120.00 degrees. The inequivalent atoms are Zr at (0.0000, 0.0000, 0.2402), In at (0.0000, 0.0000, 0.0000) and Re at (0.0000, 0.0000, 0.5000).

The calculation puts the formation energy at -0.043 eV per atom.

***

First-principles (PBE) data for crystalline ZrIn2Re at its relaxed geometry, as listed in the Alexandria database.

The space group is P4mm (No. 99) and the conventional cell measures 3.545, 3.545 and 6.464 Å, with angles of 90.00, 90.00 and 90.00 degrees. The inequivalent atoms are Zr at (0.000, 0.000, 0.000), In at (0.000, 0.000, 0.547), In at (0.500, 0.500, 0.284) and Re at (0.500, 0.500, 0.794).

The relative energy among the computed polymorphs comes out at 0.000 eV/atom. The calculation puts the formation energy at 0.097 eV per atom.

***

First-principles (PBE) data for crystalline ZrInRe2 at its relaxed geometry, as listed in the Alexandria database.

The space group is P4/mmm (No. 123) and the conventional cell measures 2.866, 2.866 and 8.793 Å, with angles of 90.00, 90.00 and 90.00 degrees. The inequivalent atoms are Zr at (0.000, 0.000, 0.000), In at (0.000, 0.000, 0.500) and Re at (0.500, 0.500, 0.254).

The calculation puts the formation energy at 0.533 eV per atom.

***

First-principles (PBE) data for crystalline ZrInRe2 at its relaxed geometry, as listed in the Alexandria database.

The space group is R-3m (No. 166, hexagonal axes) and the conventional cell measures 2.9346, 2.9346 and 28.8641 Å, with angles of 90.00, 90.00 and 120.00 degrees. The inequivalent atoms are Zr at (0.0000, 0.0000, 0.0000), In at (0.0000, 0.0000, 0.5000) and Re at (0.0000, 0.0000, 0.2486).

The calculation puts the formation energy at 0.527 eV per atom.

***

Values of E, in order: -6.750 -6.527 -4.999 -8.757 -6.371 -8.811 -6.333 -8.733 -8.063 -8.760 -6.399 -8.114 -6.521 -8.512 -8.519, all in eV/atom.
Values of size of the total moment, in order: 0.00 0.00 0.00 0.00 0.00 0.00 0.00 0.00 0.00 0.00 0.00 0.00 0.00 0.00 0.02, all in μB/f.u..